Entry from Alexandria: an optimized crystal structure of K2BeO (PBE-GGA).

```
data_K2BeO
_symmetry_space_group_name_H-M 'I 4 m m'
_symmetry_Int_Tables_number 107
_symmetry_space_group_name_Hall 'I 4 -2'
_cell_length_a 5.302
_cell_length_b 5.302
_cell_length_c 9.227
_cell_angle_alpha 90.00
_cell_angle_beta 90.00
_cell_angle_gamma 90.00
loop_
_atom_site_label
_atom_site_type_symbol
_atom_site_fract_x
_atom_site_fract_y
_atom_site_fract_z
_atom_site_occupancy
K1 K 0.000 0.500 0.000 1
Be1 Be 0.000 0.000 0.261 1
O1 O 0.000 0.000 0.414 1
```

total energy = -3.615 eV/atom
polymorph energy (0 for the lowest one) = 0.027 eV per atom



Entry from Alexandria: an optimized crystal structure of KBePO2 (PBE-GGA).

```
data_KBePO2
_symmetry_space_group_name_H-M 'P 4/m m m'
_symmetry_Int_Tables_number 123
_symmetry_space_group_name_Hall '-P 4 2'
_cell_length_a 4.048
_cell_length_b 4.048
_cell_length_c 4.065
_cell_angle_alpha 90.00
_cell_angle_beta 90.00
_cell_angle_gamma 90.00
loop_
_atom_site_label
_atom_site_type_symbol
_atom_site_fract_x
_atom_site_fract_y
_atom_site_fract_z
_atom_site_occupancy
K1 K 0.000 0.000 0.000 1
Be1 Be 0.500 0.500 0.500 1
P1 P 0.500 0.500 0.000 1
O1 O 0.000 0.500 0.500 1
```

total energy = -4.120 eV/atom
polymorph energy (0 for the lowest one) = 0.000 eV per atom



Entry from Alexandria: an optimized crystal structure of KBePO2 (PBE-GGA).

```
data_KBePO2
_symmetry_space_group_name_H-M 'P 4/m m m'
_symmetry_Int_Tables_number 123
_symmetry_space_group_name_Hall '-P 4 2'
_cell_length_a 4.106
_cell_length_b 4.106
_cell_length_c 5.933
_cell_angle_alpha 90.00
_cell_angle_beta 90.00
_cell_angle_gamma 90.00
loop_
_atom_site_label
_atom_site_type_symbol
_atom_site_fract_x
_atom_site_fract_y
_atom_site_fract_z
_atom_site_occupancy
K1 K 0.000 0.000 0.000 1
Be1 Be 0.500 0.500 0.500 1
P1 P 0.000 0.000 0.500 1
O1 O 0.000 0.500 0.000 1
```

total energy = -2.401 eV/atom
polymorph energy (0 for the lowest one) = 1.719 eV per atom



Entry from Alexandria: an optimized crystal structure of KBe4P3O12 (PBE-GGA).

```
data_KBe4P3O12
_symmetry_space_group_name_H-M 'R 3 2'
_symmetry_Int_Tables_number 155
_symmetry_space_group_name_Hall 'R 3 2"'
_cell_length_a 9.5240
_cell_length_b 9.5240
_cell_length_c 6.7242
_cell_angle_alpha 90.00
_cell_angle_beta 90.00
_cell_angle_gamma 120.00
loop_
_atom_site_label
_atom_site_type_symbol
_atom_site_fract_x
_atom_site_fract_y
_atom_site_fract_z
_atom_site_occupancy
K1 K 0.0000 0.0000 0.0000 1
Be1 Be 0.0000 0.0000 0.5000 1
Be2 Be 0.0000 0.4298 0.5000 1
P1 P 0.0000 0.5588 0.0000 1
O1 O 0.0000 0.5985 0.5000 1
O2 O 0.0000 0.8325 0.5000 1
O3 O 0.0629 0.2358 0.2036 1
```

total energy = -6.659 eV/atom



Entry from Alexandria: an optimized crystal structure of KBeP3O9 (PBE-GGA).

```
data_KBeP3O9
_symmetry_space_group_name_H-M 'P 21 21 21'
_symmetry_Int_Tables_number 19
_cell_length_a 7.986
_cell_length_b 8.772
_cell_length_c 11.590
_cell_angle_alpha 90.00
_cell_angle_beta 90.00
_cell_angle_gamma 90.00
loop_
_symmetry_equiv_pos_as_xyz
'x,y,z'
'-x+1/2,-y,z+1/2'
'x+1/2,-y+1/2,-z'
'-x,y+1/2,-z+1/2'
loop_
_atom_site_label
_atom_site_type_symbol
_atom_site_fract_x
_atom_site_fract_y
_atom_site_fract_z
_atom_site_occupancy
K1 K 0.004 0.204 0.068 1
Be1 Be 0.181 0.286 0.372 1
P1 P 0.181 0.510 0.702 1
P2 P 0.190 0.003 0.799 1
P3 P 0.191 0.789 0.118 1
O1 O 0.004 0.933 0.799 1
O2 O 0.014 0.845 0.128 1
O3 O 0.190 0.084 0.672 1
O4 O 0.195 0.134 0.290 1
O5 O 0.207 0.645 0.203 1
O6 O 0.208 0.576 0.821 1
O7 O 0.213 0.603 0.597 1
O8 O 0.217 0.116 0.893 1
O9 O 0.241 0.247 0.502 1
```

total energy = -6.999 eV/atom



Entry from Alexandria: an optimized crystal structure of K7Be12P12O48 (PBE-GGA).

```
data_K7Be12P12O48
_symmetry_space_group_name_H-M 'I 2 3'
_symmetry_Int_Tables_number 197
_symmetry_space_group_name_Hall 'I 2 2 3'
_cell_length_a 13.702
_cell_length_b 13.702
_cell_length_c 13.702
_cell_angle_alpha 90.00
_cell_angle_beta 90.00
_cell_angle_gamma 90.00
loop_
_atom_site_label
_atom_site_type_symbol
_atom_site_fract_x
_atom_site_fract_y
_atom_site_fract_z
_atom_site_occupancy
K1 K 0.000 0.000 0.500 1
K2 K 0.198 0.198 0.198 1
Be1 Be 0.070 0.372 0.777 1
P1 P 0.070 0.221 0.628 1
O1 O 0.042 0.209 0.381 1
O2 O 0.046 0.388 0.213 1
O3 O 0.096 0.268 0.727 1
O4 O 0.114 0.118 0.622 1
```

total energy = -6.844 eV/atom